# PBE CaAs3Rh4, relaxed
data_CaAs3Rh4
_chemical_formula_sum 'Ca1 As3 Rh4'
_cell_length_a 4.131
_cell_length_b 4.131
_cell_length_c 8.122
_cell_angle_alpha 90.00
_cell_angle_beta 90.00
_cell_angle_gamma 90.00
_symmetry_space_group_name_H-M 'P 1'
_symmetry_Int_Tables_number 1
_symmetry_space_group_name_Hall 'P 1'
loop_
_atom_site_label
_atom_site_fract_x
_atom_site_fract_y
_atom_site_fract_z
As1 0.000 0.000 0.000
As2 0.500 0.500 0.661
As3 0.500 0.500 0.339
Rh1 0.000 0.500 0.180
Rh2 0.500 0.000 0.180
Rh3 0.000 0.500 0.820
Rh4 0.500 0.000 0.820
Ca1 0.000 0.000 0.500
# ΔH_f (0 K) (eV/f.u.): -5.39